# 1
Below is crystalline SmHo3In2 at its relaxed geometry, with properties calculated at the PBE level.

a b c (Å): 5.396 5.396 6.738
angles (deg): 90.00 90.00 120.00
Last column: magnetic moment on the atom in μB.
Fractional coordinates of all 6 atoms:
Ho1 0.000 0.000 0.255  0.20
Ho2 0.667 0.333 0.500  0.17
Ho3 0.000 0.000 0.745  0.18
In1 0.667 0.333 0.000  0.00
In2 0.333 0.667 0.500  -0.01
Sm1 0.333 0.667 0.000  0.08

**Total DFT energy (no corrections)**: -4.335 eV/atom
**Magnetization**: 0.9 μB per formula unit

---

# 2
Below is crystalline SmHoIn at its relaxed geometry, with properties calculated at the PBE level.

a b c (Å): 5.438 5.438 6.781
angles (deg): 90.00 90.00 120.00
Last column: magnetic moment on the atom in μB.
Fractional coordinates of all 6 atoms:
Ho1 0.333 0.667 0.250  0.13
Ho2 0.667 0.333 0.750  0.13
In1 0.667 0.333 0.250  -0.01
In2 0.333 0.667 0.750  -0.01
Sm1 0.000 0.000 0.000  0.12
Sm2 0.000 0.000 0.500  0.14

**Total DFT energy (no corrections)**: -4.358 eV/atom
**Magnetization**: 0.4 μB per formula unit
**ΔE to the lowest computed polymorph**: 2 meV per atom

---

# 3
Below is crystalline SmHoIn at its relaxed geometry, with properties calculated at the PBE level.

a b c (Å): 5.216 5.216 5.216
angles (deg): 60.00 60.00 60.00
Fractional coordinates of all 3 atoms:
Ho1 0.500 0.500 0.500
In1 0.250 0.250 0.250
Sm1 0.000 0.000 0.000

**Total DFT energy (no corrections)**: -4.103 eV/atom
**Magnetization**: 0.1 μB per formula unit
**ΔE to the lowest computed polymorph**: 257 meV per atom

---

# 4
Below is crystalline SmHo2TmIn2 at its relaxed geometry, with properties calculated at the PBE level.

a b c (Å): 5.376 5.376 6.724
angles (deg): 90.00 90.00 120.00
Last column: magnetic moment on the atom in μB.
Fractional coordinates of all 6 atoms:
Ho1 0.000 0.000 0.256  0.19
Ho2 0.000 0.000 0.744  0.21
In1 0.333 0.667 0.000  0.00
In2 0.667 0.333 0.500  -0.01
Sm1 0.667 0.333 0.000  0.09
Tm1 0.333 0.667 0.500  0.19

**Total DFT energy (no corrections)**: -4.314 eV/atom
**Magnetization**: 0.9 μB per formula unit

---

# 5
Below is crystalline SmHoTm2In2 at its relaxed geometry, with properties calculated at the PBE level.

a b c (Å): 5.360 5.360 6.719
angles (deg): 90.00 90.00 120.00
Fractional coordinates of all 6 atoms:
Ho1 0.000 0.000 0.000
In1 0.333 0.667 0.247
In2 0.667 0.333 0.753
Sm1 0.000 0.000 0.500
Tm1 0.667 0.333 0.245
Tm2 0.333 0.667 0.755

**Total DFT energy (no corrections)**: -4.299 eV/atom
**Magnetization**: 0.2 μB per formula unit

---

# 6
Below is crystalline Sm2HoTmIn2 at its relaxed geometry, with properties calculated at the PBE level.

a b c (Å): 5.413 5.413 6.758
angles (deg): 90.00 90.00 120.00
Last column: magnetic moment on the atom in μB.
Fractional coordinates of all 6 atoms:
Ho1 0.000 0.000 0.000  0.05
In1 0.667 0.333 0.250  0.00
In2 0.333 0.667 0.750  0.00
Sm1 0.333 0.667 0.250  0.03
Sm2 0.667 0.333 0.750  0.03
Tm1 0.000 0.000 0.500  0.03

**Total DFT energy (no corrections)**: -4.340 eV/atom
**Magnetization**: 0.2 μB per formula unit

---

# 7
Below is crystalline HoInSnTe3 at its relaxed geometry, with properties calculated at the PBE level.

a b c (Å): 7.750 7.750 11.238
angles (deg): 90.00 90.00 146.44
Fractional coordinates of all 12 atoms:
Ho1 0.500 0.500 0.000
Ho2 0.500 0.500 0.500
In1 0.957 0.043 0.250
In2 0.043 0.957 0.750
Sn1 0.251 0.749 0.250
Sn2 0.749 0.251 0.750
Te1 0.853 0.147 0.025
Te2 0.602 0.398 0.250
Te3 0.853 0.147 0.475
Te4 0.147 0.853 0.525
Te5 0.398 0.602 0.750
Te6 0.147 0.853 0.975

**Total DFT energy (no corrections)**: -3.981 eV/atom
**Magnetization**: 0.0 μB per formula unit
**ΔE to the lowest computed polymorph**: 92 meV per atom

---

# 8
Below is crystalline HoInSnTe3 at its relaxed geometry, with properties calculated at the PBE level.

a b c (Å): 8.048 8.048 12.277
angles (deg): 90.00 90.00 148.85
Fractional coordinates of all 12 atoms:
Ho1 0.000 0.000 0.000
Ho2 0.000 0.000 0.500
In1 0.702 0.298 0.250
In2 0.298 0.702 0.750
Sn1 0.369 0.631 0.250
Sn2 0.631 0.369 0.750
Te1 0.639 0.361 0.004
Te2 0.008 0.992 0.250
Te3 0.639 0.361 0.496
Te4 0.361 0.639 0.504
Te5 0.992 0.008 0.750
Te6 0.361 0.639 0.996

**Total DFT energy (no corrections)**: -4.073 eV/atom
**Magnetization**: 0.0 μB per formula unit
**ΔE to the lowest computed polymorph**: 0 meV per atom

---

What is the magnetization in the second record?
0.4 μB per formula unit

---

What is the formula in the eighth record?
HoInSnTe3